Entry 1:
Entry from Alexandria: crystalline RbFe2I8 at its relaxed geometry (GGA-PBE).

Summary:
- uncorrected formation energy (meV per atom) = -377
- M_tot (μB/f.u.) = 8.949

Unit cell a=7.3413 b=9.3079 c=9.3079 alpha=86.47 beta=81.52 gamma=81.52
Site moments in Bohr magnetons follow the coordinates.
Fractional coordinates of all 11 atoms:
Fe1 0.6529 0.7607 0.7607  3.40
Fe2 0.3471 0.2393 0.2393  3.40
I1 0.3181 0.7418 0.7418  0.13
I2 0.6819 0.2582 0.2582  0.13
I3 0.1980 0.4277 0.4277  -0.01
I4 0.2610 0.9898 0.3188  0.19
I5 0.7390 0.6812 0.0102  0.19
I6 0.2610 0.3188 0.9898  0.19
I7 0.7390 0.0102 0.6812  0.19
I8 0.8020 0.5723 0.5723  -0.01
Rb1 0.0000 0.0000 0.0000  0.00



Entry 2:
Entry from Alexandria: crystalline Rb3FeI6 at its relaxed geometry (GGA-PBE).

Summary:
- polymorph energy (0 for the lowest one) (meV/atom) = 141
- uncorrected formation energy (meV per atom) = -793
- D(E_F) (states/eV/f.u.) = 27.787
- M_tot (μB/f.u.) = 1.000

Unit cell a=8.6351 b=8.6351 c=8.6347 alpha=60.00 beta=60.00 gamma=90.00
Site moments in Bohr magnetons follow the coordinates.
Fractional coordinates of all 10 atoms:
Fe1 0.5000 0.5000 0.0000  1.09
I1 0.2826 0.2826 0.4349  -0.01
I2 0.7175 0.2825 0.0000  -0.01
I3 0.2825 0.7175 0.0000  -0.01
I4 0.7175 0.7175 0.0000  -0.01
I5 0.7174 0.7174 0.5651  -0.01
I6 0.2825 0.2825 0.0000  -0.01
Rb1 0.0000 0.0000 0.0000  0.00
Rb2 0.7500 0.2500 0.5000  0.00
Rb3 0.2500 0.7500 0.5000  0.00